A plane-wave DFT calculation with PBE was carried out for a relaxed Zn2SiPt crystal.

Results
VASP energy, eV/atom: -3.655
Theoretical density, g/cm³: 9.49
V, Å³/atom: 15.49
N(E_F), states/eV per atom: 0.401
Space group: R3m, No. 160
Raw formation energy, meV per atom: -152

Structure (POSCAR):
```
Zn2SiPt
1.0
-4.416 3.168 -6.263
-5.137 0.297 -6.503
-6.596 2.040 -4.592
Pt Si Zn
1 1 2
direct
0.494 0.494 0.494
0.755 0.755 0.755
0.003 0.003 0.003
0.248 0.248 0.248
```